PmTm3In2 | PBE | relaxed

```
data_PmTm3In2
_chemical_formula_sum 'Pm4 Tm12 In8'
_symmetry_space_group_name_H-M 'P 1'
_symmetry_Int_Tables_number 1
_symmetry_space_group_name_Hall 'P 1'
_cell_length_a 3.487
_cell_length_b 8.893
_cell_length_c 22.064
_cell_angle_alpha 90.00
_cell_angle_beta 90.00
_cell_angle_gamma 90.00
loop_
_atom_site_label
_atom_site_type_symbol
_atom_site_fract_x
_atom_site_fract_y
_atom_site_fract_z
Tm1 Tm 0.750 0.040 0.423
In1 In 0.750 0.747 0.959
Tm2 Tm 0.750 0.540 0.077
Pm1 Pm 0.250 0.341 0.661
Pm2 Pm 0.250 0.841 0.839
In2 In 0.250 0.980 0.291
In3 In 0.750 0.247 0.541
Tm3 Tm 0.250 0.460 0.923
In4 In 0.250 0.753 0.459
Tm4 Tm 0.750 0.787 0.196
Tm5 Tm 0.750 0.287 0.304
In5 In 0.750 0.520 0.791
In6 In 0.250 0.253 0.041
Pm3 Pm 0.750 0.159 0.161
Tm6 Tm 0.250 0.713 0.696
In7 In 0.250 0.480 0.209
Tm7 Tm 0.250 0.891 0.063
Tm8 Tm 0.750 0.609 0.563
Pm4 Pm 0.750 0.659 0.339
Tm9 Tm 0.750 0.109 0.937
In8 In 0.750 0.020 0.709
Tm10 Tm 0.250 0.391 0.437
Tm11 Tm 0.250 0.213 0.804
Tm12 Tm 0.250 0.960 0.577
```

## Properties
raw total energy	-101.26	eV per cell
volume	28.51	A^3/atom